No. 1
NdEuCd2 | PBE | optimized geometry

Computed properties:
Its total energy is -4.351 eV per atom. The energy above the most stable polymorph in this dataset comes out at 0.207 eV per atom. Its crystal system is trigonal. Its size of the total moment is 7.7 μB per formula unit. Its formation energy is -133 meV per atom.

Cell lengths 3.7261, 3.7261, 31.2208 Å; angles 90.00, 90.00, 120.00 degrees
Space group R-3m (No. 166, hexagonal axes)
Inequivalent atoms, fractional coordinates:
Nd 0.0000 0.0000 0.0000 (multiplicity 3)
Eu 0.0000 0.0000 0.5000 (multiplicity 3)
Cd 0.0000 0.0000 0.2512 (multiplicity 6)


No. 2
Nd2EuCd | PBE | optimized geometry

Computed properties:
Its total energy is -5.293 eV per atom. The energy above the most stable polymorph in this dataset comes out at 0.000 eV per atom. Its crystal system is tetragonal. Its size of the total moment is 7.7 μB per formula unit. Its formation energy is -111 meV per atom.

Cell lengths 3.8525, 3.8525, 8.9846 Å; angles 90.00, 90.00, 90.00 degrees
Space group P4/mmm (No. 123)
Inequivalent atoms, fractional coordinates:
Nd 0.0000 0.0000 0.2103 (multiplicity 2)
Eu 0.5000 0.5000 0.5000 (multiplicity 1)
Cd 0.5000 0.5000 0.0000 (multiplicity 1)


No. 3
Nd2EuCd | PBE | optimized geometry

Computed properties:
Its total energy is -5.214 eV per atom. The energy above the most stable polymorph in this dataset comes out at 0.078 eV per atom. Its crystal system is trigonal. Its size of the total moment is 7.7 μB per formula unit. Its formation energy is -33 meV per atom.

Cell lengths 3.7301, 3.7301, 33.9853 Å; angles 90.00, 90.00, 120.00 degrees
Space group R-3m (No. 166, hexagonal axes)
Inequivalent atoms, fractional coordinates:
Nd 0.0000 0.0000 0.2411 (multiplicity 6)
Eu 0.0000 0.0000 0.0000 (multiplicity 3)
Cd 0.0000 0.0000 0.5000 (multiplicity 3)


No. 4
NdEuCdNi | PBE | optimized geometry

Computed properties:
Its total energy is -5.578 eV per atom. Its crystal system is cubic. Its size of the total moment is 7.0 μB per formula unit. Its formation energy is -144 meV per atom.

Cell lengths 7.4100, 7.4100, 7.4100 Å; angles 90.00, 90.00, 90.00 degrees
Space group F-43m (No. 216)
Inequivalent atoms, fractional coordinates:
Nd 0.0000 0.0000 0.0000 (multiplicity 4)
Eu 0.0000 0.0000 0.5000 (multiplicity 4)
Cd 0.2500 0.2500 0.2500 (multiplicity 4)
Ni 0.2500 0.2500 0.7500 (multiplicity 4)